Entry from Alexandria via LeMat-Bulk: a relaxed GaNi4Sb crystal (GGA-PBE).

E_tot: -31.2 eV for the cell shown
mass density: 9.0 g/cm3
energy relative to the elements, uncorrected: -152 meV/atom
crystal system: monoclinic
calculated volume: 78.69 Å³/cell
SG: C2/m, No. 12

abc: 3.358 4.488 6.191
angles: 101.00 74.26 68.03
Element x y z (fractional)
Ga  0.000  0.000  0.000
Ni  0.805  0.535  0.855
Ni  0.363  0.964  0.309
Ni  0.195  0.465  0.145
Ni  0.637  0.036  0.691
Sb  0.500  0.500  0.500

Entry from Alexandria via LeMat-Bulk: a relaxed GaNi9Sb2 crystal (GGA-PBE).

E_tot: -65.8 eV for the cell shown
mass density: 9.3 g/cm3
energy relative to the elements, uncorrected: -207 meV/atom
crystal system: tetragonal
calculated volume: 149.62 Å³/cell
SG: P4/mmm, No. 123

abc: 3.693 3.693 10.968
angles: 90.00 90.00 90.00
Element x y z (fractional)
Ga  0.000  0.000  0.000
Ni  0.500  0.500  0.000
Ni  0.500  0.500  0.332
Ni  0.500  0.500  0.668
Ni  0.500  0.000  0.158
Ni  0.500  0.000  0.500
Ni  0.500  0.000  0.842
Ni  0.000  0.500  0.158
Ni  0.000  0.500  0.500
Ni  0.000  0.500  0.842
Sb  0.000  0.000  0.326
Sb  0.000  0.000  0.674

Entry from Alexandria via LeMat-Bulk: a relaxed Ga3NiSb crystal (GGA-PBE).

E_tot: -18.9 eV for the cell shown
mass density: 6.4 g/cm3
energy relative to the elements, uncorrected: 15 meV/atom
crystal system: cubic
calculated volume: 101.82 Å³/cell
SG: Pm-3m, No. 221

abc: 4.670 4.670 4.670
angles: 90.00 90.00 90.00
Element x y z (fractional)
Sb  0.500  0.500  0.500
Ga  0.000  0.500  0.000
Ga  0.000  0.000  0.500
Ga  0.500  0.000  0.000
Ni  0.000  0.000  0.000

The calculation returns the following DOS at the Fermi energy values, one per record and in order: 4.011, 5.982, 5.260 states/eV per cell.